{
  "formula": "Co2Tc2Pd",
  "functional": "PBE",
  "state": "optimized geometry",
  "lattice_angstrom": [[7.0763, 0.0000, 0.0000], [0.0000, 7.0763, 0.0000], [0.0000, 0.0000, 2.6437]],
  "species": ["Co", "Co", "Co", "Co", "Tc", "Tc", "Tc", "Tc", "Pd", "Pd"],
  "fractional_positions": [[0.1211, 0.3789, 0.0000], [0.3789, 0.8789, 0.0000], [0.6211, 0.1211, 0.0000], [0.8789, 0.6211, 0.0000], [0.1726, 0.6726, 0.5000], [0.3274, 0.1726, 0.5000], [0.6726, 0.8274, 0.5000], [0.8274, 0.3274, 0.5000], [0.0000, 0.0000, 0.0000], [0.5000, 0.5000, 0.0000]],
  "final_energy_ev_per_cell": -79.074
}

***

{
  "formula": "Ti5Co2TcPd2",
  "functional": "PBE",
  "state": "optimized geometry",
  "lattice_angstrom": [[9.9453, 0.0000, 0.0000], [0.0000, 9.9453, 0.0000], [0.0000, 0.0000, 3.0752]],
  "species": ["Ti", "Ti", "Ti", "Ti", "Ti", "Ti", "Ti", "Ti", "Ti", "Ti", "Co", "Co", "Co", "Co", "Tc", "Tc", "Pd", "Pd", "Pd", "Pd"],
  "fractional_positions": [[0.0000, 0.5000, 0.0000], [0.0799, 0.1959, 0.0000], [0.1959, 0.9201, 0.0000], [0.3041, 0.4201, 0.0000], [0.4201, 0.6959, 0.0000], [0.5000, 0.0000, 0.0000], [0.5799, 0.3041, 0.0000], [0.6959, 0.5799, 0.0000], [0.8041, 0.0799, 0.0000], [0.9201, 0.8041, 0.0000], [0.1271, 0.3729, 0.5000], [0.3729, 0.8729, 0.5000], [0.6271, 0.1271, 0.5000], [0.8729, 0.6271, 0.5000], [0.0000, 0.0000, 0.5000], [0.5000, 0.5000, 0.5000], [0.1695, 0.6695, 0.5000], [0.3305, 0.1695, 0.5000], [0.6695, 0.8305, 0.5000], [0.8305, 0.3305, 0.5000]],
  "final_energy_ev_per_cell": -154.828
}

***

{
  "formula": "CoTePd3",
  "functional": "PBE",
  "state": "optimized geometry",
  "lattice_angstrom": [[4.6215, 0.0000, 0.0000], [0.0000, 4.6215, 0.0000], [0.0000, 0.0000, 4.6215]],
  "species": ["Co", "Te", "Pd", "Pd", "Pd"],
  "fractional_positions": [[0.0000, 0.0000, 0.0000], [0.5000, 0.5000, 0.5000], [0.0000, 0.0000, 0.5000], [0.0000, 0.5000, 0.0000], [0.5000, 0.0000, 0.0000]],
  "final_energy_ev_per_cell": -22.967,
  "raw_formation_energy_mev_per_atom": 572
}

***

What did the third record say?
{
  "formula": "CoTePd3",
  "functional": "PBE",
  "state": "optimized geometry",
  "lattice_angstrom": [[4.6215, 0.0000, 0.0000], [0.0000, 4.6215, 0.0000], [0.0000, 0.0000, 4.6215]],
  "species": ["Co", "Te", "Pd", "Pd", "Pd"],
  "fractional_positions": [[0.0000, 0.0000, 0.0000], [0.5000, 0.5000, 0.5000], [0.0000, 0.0000, 0.5000], [0.0000, 0.5000, 0.0000], [0.5000, 0.0000, 0.0000]],
  "final_energy_ev_per_cell": -22.967,
  "raw_formation_energy_mev_per_atom": 572
}